{"formula": "Na2Tl3SbSe6", "functional": "GGA-PBE", "state": "optimized geometry", "e_form_raw_kj_per_mol_fu": -519, "crystal_system": "monoclinic", "energy_ev_per_atom": -3.35, "magnetic_moment_mub_per_fu": 0.000, "dos_ef_per_ev_atom": 0.4493, "cell": [[-3.799, -6.138, 1.473], [6.916, 0.690, 2.442], [-3.384, 4.692, 4.353]], "species": ["Na", "Na", "Tl", "Tl", "Tl", "Se", "Se", "Se", "Se", "Se", "Se", "Sb"], "fractional_positions": [[0.336, 0.664, 0.000], [0.664, 0.336, 0.000], [0.171, 0.829, 0.500], [0.829, 0.171, 0.500], [0.500, 0.500, 0.500], [0.233, 0.233, 0.756], [0.597, 0.914, 0.763], [0.767, 0.767, 0.244], [0.086, 0.403, 0.237], [0.403, 0.086, 0.237], [0.914, 0.597, 0.763], [0.000, 0.000, 0.000]]}

{"formula": "TmPuThCd", "functional": "GGA-PBE", "state": "optimized geometry", "ef_kj_per_mol_atoms": 10, "crystal_system": "cubic", "energy_ev_per_atom": -6.68, "magnetic_moment_mub_per_fu": 6.543, "dos_ef_per_ev_atom": 4.1423, "cell": [[5.391, 0.000, 0.000], [2.695, 4.669, 0.000], [2.695, 1.556, 4.402]], "species": ["Pu", "Cd", "Tm", "Th"], "fractional_positions": [[0.250, 0.250, 0.250], [0.750, 0.750, 0.750], [0.500, 0.500, 0.500], [0.000, 0.000, 0.000]]}

{"formula": "BaAcTe2", "functional": "GGA-PBE", "state": "optimized geometry", "de_polymorph_ev_per_atom": 0.061, "e_form_raw_kj_per_mol_fu": -608, "crystal_system": "trigonal", "energy_ev_per_atom": -4.65, "magnetic_moment_mub_per_fu": 0.000, "dos_ef_per_ev_atom": 0.6876, "cell": [[4.724, 0.000, 0.000], [2.362, 4.091, 0.000], [2.362, 1.364, 8.446]], "species": ["Te", "Te", "Ba", "Ac"], "fractional_positions": [[0.256, 0.256, 0.233], [0.079, 0.079, 0.764], [0.496, 0.496, 0.511], [0.669, 0.669, 0.992]]}

{"formula": "La6Tb2SmTm", "functional": "GGA-PBE", "state": "optimized geometry", "ef_kj_per_mol_atoms": 11, "crystal_system": "monoclinic", "energy_ev_per_atom": -4.69, "magnetic_moment_mub_per_fu": 0.000, "dos_ef_per_ev_atom": 1.1048, "cell": [[8.977, -1.694, -1.758], [1.047, 8.825, -1.775], [1.047, -2.101, 8.754]], "species": ["La", "La", "La", "La", "La", "La", "La", "La", "La", "La", "La", "La", "Tm", "Tm", "Sm", "Sm", "Tb", "Tb", "Tb", "Tb"], "fractional_positions": [[0.917, 0.919, 0.229], [0.105, 0.710, 0.444], [0.083, 0.081, 0.771], [0.895, 0.290, 0.556], [0.682, 0.980, 0.543], [0.605, 0.444, 0.710], [0.395, 0.556, 0.290], [0.818, 0.457, 0.020], [0.417, 0.229, 0.919], [0.583, 0.771, 0.081], [0.318, 0.020, 0.457], [0.182, 0.543, 0.980], [0.750, 0.579, 0.421], [0.250, 0.421, 0.579], [0.250, 0.941, 0.059], [0.750, 0.059, 0.941], [0.435, 0.795, 0.707], [0.065, 0.293, 0.205], [0.565, 0.205, 0.293], [0.935, 0.707, 0.795]]}

{"formula": "HgTePS2", "functional": "GGA-PBE", "state": "optimized geometry", "de_polymorph_ev_per_atom": 0.000, "e_form_raw_kj_per_mol_fu": 382, "crystal_system": "tetragonal", "energy_ev_per_atom": -2.63, "magnetic_moment_mub_per_fu": 1.199, "dos_ef_per_ev_atom": 0.8082, "cell": [[-3.677, -0.221, -3.484], [-1.111, -4.723, 1.471], [-3.461, 1.914, 3.532]], "species": ["Hg", "P", "Te", "S", "S"], "fractional_positions": [[0.500, 0.500, 0.500], [0.000, 0.000, 0.500], [0.000, 0.000, 0.000], [0.500, 0.000, 0.000], [0.000, 0.500, 0.000]]}

{"formula": "La2UN4", "functional": "GGA-PBE", "state": "optimized geometry", "de_polymorph_ev_per_atom": 0.000, "e_form_raw_kj_per_mol_fu": -1006, "crystal_system": "orthorhombic", "energy_ev_per_atom": -9.27, "magnetic_moment_mub_per_fu": 0.000, "cell": [[-1.379, -1.730, 2.863], [5.536, -2.149, 1.369], [1.773, 8.312, 5.876]], "species": ["N", "N", "N", "N", "N", "N", "N", "N", "U", "U", "La", "La", "La", "La"], "fractional_positions": [[0.000, 0.860, 0.316], [0.500, 0.780, 0.542], [0.500, 0.220, 0.458], [0.500, 0.280, 0.958], [0.000, 0.640, 0.816], [0.000, 0.140, 0.684], [0.500, 0.720, 0.042], [0.000, 0.360, 0.184], [0.000, 0.500, 0.000], [0.000, 0.000, 0.500], [0.500, 0.440, 0.676], [0.500, 0.940, 0.824], [0.500, 0.060, 0.176], [0.500, 0.560, 0.324]]}

{"formula": "La2Zn5Ag3", "functional": "GGA-PBE", "state": "optimized geometry", "ef_kj_per_mol_atoms": -26, "crystal_system": "monoclinic", "energy_ev_per_atom": -2.75, "magnetic_moment_mub_per_fu": 0.000, "dos_ef_per_ev_atom": 0.5782, "cell": [[-1.560, 1.549, 5.446], [-5.281, -6.458, 3.498], [6.956, -1.483, 5.589]], "species": ["Zn", "Zn", "Zn", "Zn", "Zn", "Zn", "Zn", "Zn", "Zn", "Zn", "Ag", "Ag", "Ag", "Ag", "Ag", "Ag", "La", "La", "La", "La"], "fractional_positions": [[0.250, 0.205, 0.795], [0.250, 0.796, 0.204], [0.663, 0.943, 0.732], [0.837, 0.268, 0.057], [0.163, 0.732, 0.943], [0.250, 0.500, 0.500], [0.750, 0.204, 0.796], [0.750, 0.500, 0.500], [0.750, 0.795, 0.205], [0.337, 0.057, 0.268], [0.404, 0.450, 0.745], [0.250, 0.000, 0.000], [0.750, 0.000, 0.000], [0.596, 0.550, 0.255], [0.096, 0.255, 0.550], [0.904, 0.745, 0.450], [0.278, 0.857, 0.591], [0.778, 0.591, 0.857], [0.722, 0.143, 0.409], [0.222, 0.409, 0.143]]}

{"formula": "KRh", "functional": "GGA-PBE", "state": "optimized geometry", "ef_kj_per_mol_atoms": 78, "de_polymorph_ev_per_atom": 0.436, "crystal_system": "tetragonal", "energy_ev_per_atom": -3.42, "magnetic_moment_mub_per_fu": 0.744, "dos_ef_per_ev_atom": 0.9415, "cell": [[-2.247, -0.208, -1.750], [-1.478, -1.320, 2.056], [-1.779, 4.683, 1.727]], "species": ["K", "Rh"], "fractional_positions": [[0.000, 0.000, 0.000], [0.500, 0.500, 0.500]]}